DFT (GGA-PBE) results for a relaxed PuThPt2 crystal.

Cell lengths 4.1644, 4.1644, 20.2031 Å; angles 90.00, 90.00, 120.00 degrees
Space group R-3m (No. 166, hexagonal axes)
Asymmetric unit:
Pu  0.0000  0.0000  0.0000 [3 per cell]
Th  0.0000  0.0000  0.5000 [3 per cell]
Pt  0.0000  0.0000  0.2508 [6 per cell]

Calculated values
Density (g/cm3): 14.22
VASP energy (eV per atom): -9.43
ΔH_f (0 K) (eV/atom): -0.970
Size of the total moment (Bohr magnetons per cell): 16.17

---

DFT (GGA-PBE) results for a relaxed Nb2BiPd2 crystal.

Cell lengths 8.0653, 8.0653, 3.0077 Å; angles 90.00, 90.00, 90.00 degrees
Space group P4/mbm (No. 127)
Asymmetric unit:
Nb  0.1161  0.3839  0.0000 [4 per cell]
Bi  0.0000  0.0000  0.0000 [2 per cell]
Pd  0.1709  0.6709  0.5000 [4 per cell]

Calculated values
Density (g/cm3): 10.31
VASP energy (eV per atom): -6.85
ΔH_f (0 K) (eV/atom): 0.036
Size of the total moment (Bohr magnetons per cell): 0.00

---

DFT (GGA-PBE) results for a relaxed HoEr2ScTe6 crystal.

Cell lengths 7.5550, 7.5550, 20.7182 Å; angles 90.00, 90.00, 120.00 degrees
Space group R3 (No. 146, hexagonal axes)
Asymmetric unit:
Ho  0.0000  0.0000  0.0000 [3 per cell]
Er  0.0000  0.0000  0.3149 [3 per cell]
Er  0.0000  0.0000  0.8164 [3 per cell]
Sc  0.0000  0.0000  0.4984 [3 per cell]
Te  0.0187  0.3381  0.5745 [9 per cell]
Te  0.0252  0.6710  0.0774 [9 per cell]

Calculated values
Density (g/cm3): 6.37
VASP energy (eV per atom): -5.19
Uncorrected formation energy (eV/atom): -1.302
Size of the total moment (Bohr magnetons per cell): 0.00